1.
The following is a GGA-PBE calculation of crystalline NaLiTe2Os at its relaxed geometry, from Alexandria via LeMat-Bulk.

a = 5.3089 Å, b = 5.3089 Å, c = 3.9400 Å
α = 90.00°, β = 90.00°, γ = 90.00°
Last column: nearest neighbours and their distance in Å.
Space group P4/mmm (No. 123)
Symmetry-distinct sites (fractional):
Na 0.0000 0.0000 0.0000 [1 per cell]  2 Li 1.97
Li 0.0000 0.0000 0.5000 [1 per cell]  2 Na 1.97
Te 0.0000 0.5000 0.0000 [2 per cell]  2 Na 2.65
Os 0.5000 0.5000 0.5000 [1 per cell]  8 Te 3.31

- Formation energy from raw total energies: 1.125 eV per atom



2.
The following is a GGA-PBE calculation of crystalline NaLiP at its relaxed geometry, from Alexandria via LeMat-Bulk.

a = 4.3442 Å, b = 5.0966 Å, c = 6.3969 Å
α = 69.60°, β = 70.15°, γ = 64.78°
Last column: nearest neighbours and their distance in Å.
Space group P1 (No. 1)
Symmetry-distinct sites (fractional):
Na 0.0000 0.0000 0.0000 [1 per cell]  4 P 2.88-3.17, 1 Na 3.07, 5 Li 3.08-3.19
Na 0.2437 0.0171 0.4874 [1 per cell]  4 P 2.74-3.05, 2 Li 2.80-2.93, 1 Na 3.07
Li 0.4170 0.4243 0.7424 [1 per cell]  4 P 2.62-2.80, 1 Na 2.80, 1 Li 2.89
Li 0.6037 0.5322 0.2490 [1 per cell]  3 P 2.52-2.59
P 0.7387 0.7057 0.8189 [1 per cell]  1 P 2.31, 1 Li 2.52
P 0.9565 0.6198 0.4569 [1 per cell]  1 P 2.31

- Offset from the most stable computed form: 0.057 eV/atom



no.,density of states at the Fermi level (states/eV per cell),raw total energy (eV per atom)
1,4.55,-3.024
2,0.31,-3.274